(1)
Computed, not measured: TlCoHg2 after structural relaxation at the PBEsol level of DFT.

Offset from the most stable computed form: 14.6 kJ/mol of atoms
Theoretical density: 13.38 g/cm3
Magnetization: 1.2 μB/cell
E: -2.463 eV per atom
SG: P2/m (10)

```
TlCoHg2
1.0
3.645 0.000 0.021
0.000 4.380 0.000
-1.428 0.000 5.155
Tl Co Hg
1 1 2
Cartesian
1.823 2.190 0.010
1.109 2.190 2.588
2.090 0.000 3.724
0.127 0.000 1.452
```

(2)
Computed, not measured: TlCoHg after structural relaxation at the PBEsol level of DFT.

Offset from the most stable computed form: 0.0 kJ/mol of atoms
Theoretical density: 13.64 g/cm3
Magnetization: 0.0 μB/cell
E: -3.217 eV per atom
SG: Cm (8)

```
TlCoHg
1.0
-1.684 -1.272 -2.133
2.300 -1.773 -0.759
-1.962 -4.299 4.125
Tl Co Hg
1 1 1
Cartesian
-1.125 -4.658 1.567
-0.001 -0.002 0.002
-0.221 -2.684 -0.336
```

(3)
Computed, not measured: CoHg2W after structural relaxation at the PBEsol level of DFT.

Offset from the most stable computed form: 0.0 kJ/mol of atoms
Theoretical density: 16.23 g/cm3
Magnetization: 1.6 μB/cell
E: -5.007 eV per atom
SG: R-3m (166)

```
CoHg2W
1.0
-2.827 0.408 -0.494
-1.482 -1.909 -1.600
-3.422 -5.218 6.772
Co Hg W
1 2 1
Cartesian
0.000 0.000 0.000
-1.901 -1.606 1.052
-5.829 -5.114 3.627
-3.865 -3.360 2.339
```